# 1
This record from Alexandria via LeMat-Bulk describes LiScCo2 after structural relaxation. The functional is GGA-PBEsol.

Structure (CIF):
```
data_LiScCo2
_chemical_formula_sum 'Li2 Sc2 Co4'
_symmetry_space_group_name_H-M 'I 4/m m m'
_symmetry_Int_Tables_number 139
_symmetry_space_group_name_Hall '-I 4 2'
_cell_length_a 3.743
_cell_length_b 3.743
_cell_length_c 7.324
_cell_angle_alpha 90.00
_cell_angle_beta 90.00
_cell_angle_gamma 90.00
loop_
_atom_site_label
_atom_site_fract_x
_atom_site_fract_y
_atom_site_fract_z
_atom_site_occupancy
Li1 0.000 0.000 0.000 1
Sc1 0.000 0.000 0.500 1
Co1 0.000 0.500 0.250 1
```

Summary:
Polymorph energy (0 for the lowest one)   0 meV per atom
Energy of formation from the pure elements   0.137 eV per atom
Density of states at the Fermi level   5.55 states/eV/f.u.

***

# 2
This record from Alexandria via LeMat-Bulk describes LiSc4Co after structural relaxation. The functional is GGA-PBEsol.

Structure (CIF):
```
data_LiSc4Co
_chemical_formula_sum 'Li4 Sc16 Co4'
_symmetry_space_group_name_H-M 'F -4 3 m'
_symmetry_Int_Tables_number 216
_symmetry_space_group_name_Hall 'F -4 2 3'
_cell_length_a 7.965
_cell_length_b 7.965
_cell_length_c 7.965
_cell_angle_alpha 90.00
_cell_angle_beta 90.00
_cell_angle_gamma 90.00
loop_
_atom_site_label
_atom_site_fract_x
_atom_site_fract_y
_atom_site_fract_z
_atom_site_occupancy
Li1 0.000 0.000 0.000 1
Sc1 0.124 0.124 0.376 1
Co1 0.250 0.250 0.750 1
```

Summary:
Energy of formation from the pure elements   0.672 eV per atom
Density of states at the Fermi level   6.29 states/eV/f.u.

***

# 3
This record from Alexandria via LeMat-Bulk describes LiSc2Co after structural relaxation. The functional is GGA-PBEsol.

Structure (CIF):
```
data_LiSc2Co
_chemical_formula_sum 'Li1 Sc2 Co1'
_symmetry_space_group_name_H-M 'P 4/m m m'
_symmetry_Int_Tables_number 123
_symmetry_space_group_name_Hall '-P 4 2'
_cell_length_a 3.097
_cell_length_b 3.097
_cell_length_c 7.633
_cell_angle_alpha 90.00
_cell_angle_beta 90.00
_cell_angle_gamma 90.00
loop_
_atom_site_label
_atom_site_fract_x
_atom_site_fract_y
_atom_site_fract_z
_atom_site_occupancy
Li1 0.000 0.000 0.000 1
Sc1 0.500 0.500 0.305 1
Co1 0.000 0.000 0.500 1
```

Summary:
Energy of formation from the pure elements   -0.149 eV per atom
Density of states at the Fermi level   3.43 states/eV/f.u.

***

# 4
This record from Alexandria via LeMat-Bulk describes Li2ScCo after structural relaxation. The functional is GGA-PBEsol.

Structure (CIF):
```
data_Li2ScCo
_chemical_formula_sum 'Li8 Sc4 Co4'
_symmetry_space_group_name_H-M 'I -4 2 d'
_symmetry_Int_Tables_number 122
_symmetry_space_group_name_Hall 'I -4 2bw'
_cell_length_a 3.507
_cell_length_b 3.507
_cell_length_c 20.155
_cell_angle_alpha 90.00
_cell_angle_beta 90.00
_cell_angle_gamma 90.00
loop_
_atom_site_label
_atom_site_fract_x
_atom_site_fract_y
_atom_site_fract_z
_atom_site_occupancy
Li1 0.217 0.750 0.125 1
Sc1 0.000 0.000 0.500 1
Co1 0.000 0.000 0.000 1
```

Summary:
Polymorph energy (0 for the lowest one)   112 meV per atom
Energy of formation from the pure elements   0.183 eV per atom
Density of states at the Fermi level   2.64 states/eV/f.u.

***

# 5
This record from Alexandria via LeMat-Bulk describes Li3ScCo after structural relaxation. The functional is GGA-PBEsol.

Structure (CIF):
```
data_Li3ScCo
_chemical_formula_sum 'Li3 Sc1 Co1'
_symmetry_space_group_name_H-M 'P m -3 m'
_symmetry_Int_Tables_number 221
_symmetry_space_group_name_Hall '-P 4 2 3'
_cell_length_a 4.373
_cell_length_b 4.373
_cell_length_c 4.373
_cell_angle_alpha 90.00
_cell_angle_beta 90.00
_cell_angle_gamma 90.00
loop_
_atom_site_label
_atom_site_fract_x
_atom_site_fract_y
_atom_site_fract_z
_atom_site_occupancy
Li1 0.000 0.000 0.500 1
Sc1 0.500 0.500 0.500 1
Co1 0.000 0.000 0.000 1
```

Summary:
Energy of formation from the pure elements   0.615 eV per atom
Density of states at the Fermi level   3.76 states/eV/f.u.

***

# 6
This record from Alexandria via LeMat-Bulk describes LiScCo2 after structural relaxation. The functional is GGA-PBEsol.

Structure (CIF):
```
data_LiScCo2
_chemical_formula_sum 'Li1 Sc1 Co2'
_symmetry_space_group_name_H-M 'P 1 m 1'
_symmetry_Int_Tables_number 6
_symmetry_space_group_name_Hall 'P -2y'
_cell_length_a 2.748
_cell_length_b 3.834
_cell_length_c 5.196
_cell_angle_alpha 90.00
_cell_angle_beta 103.65
_cell_angle_gamma 90.00
loop_
_atom_site_label
_atom_site_fract_x
_atom_site_fract_y
_atom_site_fract_z
_atom_site_occupancy
Li1 0.000 0.000 0.000 1
Sc1 0.579 0.500 0.311 1
Co1 0.148 0.000 0.575 1
Co2 0.549 0.500 0.773 1
```

Summary:
Polymorph energy (0 for the lowest one)   13 meV per atom
Energy of formation from the pure elements   0.150 eV per atom
Density of states at the Fermi level   3.48 states/eV/f.u.

***

# 7
This record from Alexandria via LeMat-Bulk describes LiSc2Co after structural relaxation. The functional is GGA-PBEsol.

Structure (CIF):
```
data_LiSc2Co
_chemical_formula_sum 'Li2 Sc4 Co2'
_symmetry_space_group_name_H-M 'I -4 m 2'
_symmetry_Int_Tables_number 119
_symmetry_space_group_name_Hall 'I -4 -2'
_cell_length_a 3.780
_cell_length_b 3.780
_cell_length_c 9.257
_cell_angle_alpha 90.00
_cell_angle_beta 90.00
_cell_angle_gamma 90.00
loop_
_atom_site_label
_atom_site_fract_x
_atom_site_fract_y
_atom_site_fract_z
_atom_site_occupancy
Li1 0.000 0.000 0.000 1
Sc1 0.000 0.000 0.500 1
Sc2 0.000 0.500 0.250 1
Co1 0.000 0.500 0.750 1
```

Summary:
Energy of formation from the pure elements   0.117 eV per atom
Density of states at the Fermi level   3.01 states/eV/f.u.

***

# 8
This record from Alexandria via LeMat-Bulk describes LiScCo2 after structural relaxation. The functional is GGA-PBEsol.

Structure (CIF):
```
data_LiScCo2
_chemical_formula_sum 'Li3 Sc3 Co6'
_symmetry_space_group_name_H-M 'R -3 m'
_symmetry_Int_Tables_number 166
_symmetry_space_group_name_Hall '-R 3 2"'
_cell_length_a 2.8224
_cell_length_b 2.8224
_cell_length_c 23.5332
_cell_angle_alpha 90.00
_cell_angle_beta 90.00
_cell_angle_gamma 120.00
loop_
_atom_site_label
_atom_site_fract_x
_atom_site_fract_y
_atom_site_fract_z
_atom_site_occupancy
Li1 0.0000 0.0000 0.0000 1
Sc1 0.0000 0.0000 0.5000 1
Co1 0.0000 0.0000 0.2489 1
```

Summary:
Polymorph energy (0 for the lowest one)   178 meV per atom
Energy of formation from the pure elements   0.315 eV per atom
Density of states at the Fermi level   3.50 states/eV/f.u.

***

# 9
This record from Alexandria via LeMat-Bulk describes LiSc2Co after structural relaxation. The functional is GGA-PBEsol.

Structure (CIF):
```
data_LiSc2Co
_chemical_formula_sum 'Li1 Sc2 Co1'
_symmetry_space_group_name_H-M 'P 4 m m'
_symmetry_Int_Tables_number 99
_symmetry_space_group_name_Hall 'P 4 -2'
_cell_length_a 3.438
_cell_length_b 3.438
_cell_length_c 6.157
_cell_angle_alpha 90.00
_cell_angle_beta 90.00
_cell_angle_gamma 90.00
loop_
_atom_site_label
_atom_site_fract_x
_atom_site_fract_y
_atom_site_fract_z
_atom_site_occupancy
Li1 0.000 0.000 0.000 1
Sc1 0.000 0.000 0.586 1
Sc2 0.500 0.500 0.273 1
Co1 0.500 0.500 0.701 1
```

Summary:
Energy of formation from the pure elements   0.126 eV per atom
Density of states at the Fermi level   3.88 states/eV/f.u.

***

# 10
This record from Alexandria via LeMat-Bulk describes LiCoSe2 after structural relaxation. The functional is GGA-PBEsol.

Structure (CIF):
```
data_LiCoSe2
_chemical_formula_sum 'Li3 Co3 Se6'
_symmetry_space_group_name_H-M 'R -3 m'
_symmetry_Int_Tables_number 166
_symmetry_space_group_name_Hall '-R 3 2"'
_cell_length_a 3.5525
_cell_length_b 3.5525
_cell_length_c 17.9303
_cell_angle_alpha 90.00
_cell_angle_beta 90.00
_cell_angle_gamma 120.00
loop_
_atom_site_label
_atom_site_fract_x
_atom_site_fract_y
_atom_site_fract_z
_atom_site_occupancy
Li1 0.0000 0.0000 0.0000 1
Co1 0.0000 0.0000 0.5000 1
Se1 0.0000 0.0000 0.2338 1
```

Summary:
Raw formation energy   -2.4 eV/f.u.
Density of states at the Fermi level   0.31 states/eV/f.u.

***

no.,E (eV per atom)
1,-5.875
2,-5.349
3,-5.877
4,-4.386
5,-3.433
6,-5.861
7,-5.612
8,-5.696
9,-5.603
10,-4.959